Record 1
Here is Rb8Zr6BBr20 after structural relaxation from Alexandria via LeMat-Bulk. Energies are from PBE-GGA.

a = 12.055 Å, b = 12.055 Å, c = 12.055 Å
α = 60.00°, β = 60.00°, γ = 60.00°
Fractional coordinates of all 35 atoms:
1 Rb 0.139 0.139 0.139
2 Rb 0.139 0.139 0.582
3 Rb 0.139 0.582 0.139
4 Rb 0.418 0.861 0.861
5 Rb 0.582 0.139 0.139
6 Rb 0.861 0.418 0.861
7 Rb 0.861 0.861 0.418
8 Rb 0.861 0.861 0.861
9 Zr 0.363 0.363 0.637
10 Zr 0.363 0.637 0.363
11 Zr 0.363 0.637 0.637
12 Zr 0.637 0.363 0.363
13 Zr 0.637 0.363 0.637
14 Zr 0.637 0.637 0.363
15 B 0.500 0.500 0.500
16 Br 0.181 0.500 0.500
17 Br 0.181 0.500 0.819
18 Br 0.181 0.819 0.500
19 Br 0.191 0.191 0.809
20 Br 0.191 0.809 0.191
21 Br 0.191 0.809 0.809
22 Br 0.250 0.250 0.250
23 Br 0.500 0.181 0.500
24 Br 0.500 0.181 0.819
25 Br 0.500 0.500 0.181
26 Br 0.500 0.500 0.819
27 Br 0.500 0.819 0.181
28 Br 0.500 0.819 0.500
29 Br 0.750 0.750 0.750
30 Br 0.809 0.191 0.191
31 Br 0.809 0.191 0.809
32 Br 0.809 0.809 0.191
33 Br 0.819 0.181 0.500
34 Br 0.819 0.500 0.181
35 Br 0.819 0.500 0.500

Results
Its space group is Fm-3m (225). The value obtained for the density of states at the Fermi level is 6.83 states/eV/f.u.


Record 2
Here is ReBBr3 after structural relaxation from Alexandria via LeMat-Bulk. Energies are from PBE-GGA.

a = 4.836 Å, b = 4.836 Å, c = 4.836 Å
α = 90.00°, β = 90.00°, γ = 90.00°
Fractional coordinates of all 5 atoms:
1 Re 0.000 0.000 0.000
2 B 0.500 0.500 0.500
3 Br 0.000 0.500 0.500
4 Br 0.500 0.000 0.500
5 Br 0.500 0.500 0.000

Results
Its space group is Pm-3m (221). The value obtained for the density of states at the Fermi level is 1.60 states/eV/f.u.


Record 3
Here is Re2BBr after structural relaxation from Alexandria via LeMat-Bulk. Energies are from PBE-GGA.

a = 5.945 Å, b = 5.945 Å, c = 5.945 Å
α = 90.00°, β = 90.00°, γ = 90.00°
Fractional coordinates of all 16 atoms:
1 Re 0.250 0.250 0.250
2 Re 0.250 0.250 0.750
3 Re 0.250 0.750 0.250
4 Re 0.250 0.750 0.750
5 Re 0.750 0.250 0.250
6 Re 0.750 0.250 0.750
7 Re 0.750 0.750 0.250
8 Re 0.750 0.750 0.750
9 B 0.000 0.000 0.000
10 B 0.000 0.500 0.500
11 B 0.500 0.000 0.500
12 B 0.500 0.500 0.000
13 Br 0.000 0.000 0.500
14 Br 0.000 0.500 0.000
15 Br 0.500 0.000 0.000
16 Br 0.500 0.500 0.500

Results
Its space group is Fm-3m (225). The value obtained for the density of states at the Fermi level is 2.67 states/eV/f.u.


Record 4
Here is ReBBr2 after structural relaxation from Alexandria via LeMat-Bulk. Energies are from PBE-GGA.

a = 3.178 Å, b = 3.178 Å, c = 23.985 Å
α = 90.00°, β = 90.00°, γ = 120.00°
Fractional coordinates of all 12 atoms:
1 Re 0.000 0.000 0.000
2 Re 0.333 0.667 0.667
3 Re 0.667 0.333 0.333
4 B 0.000 0.000 0.500
5 B 0.333 0.667 0.167
6 B 0.667 0.333 0.833
7 Br 0.000 0.000 0.101
8 Br 0.000 0.000 0.899
9 Br 0.333 0.667 0.565
10 Br 0.333 0.667 0.768
11 Br 0.667 0.333 0.232
12 Br 0.667 0.333 0.435

Results
Its space group is R-3m (166). The value obtained for the density of states at the Fermi level is 3.17 states/eV/f.u.


Record 5
Here is ReBBr3 after structural relaxation from Alexandria via LeMat-Bulk. Energies are from PBE-GGA.

a = 5.157 Å, b = 5.157 Å, c = 5.157 Å
α = 90.00°, β = 90.00°, γ = 90.00°
Fractional coordinates of all 5 atoms:
1 Re 0.000 0.000 0.000
2 B 0.500 0.500 0.500
3 Br 0.000 0.000 0.500
4 Br 0.000 0.500 0.000
5 Br 0.500 0.000 0.000

Results
Its space group is Pm-3m (221). The value obtained for the density of states at the Fermi level is 3.80 states/eV/f.u.


Record 6
Here is ReB2Br after structural relaxation from Alexandria via LeMat-Bulk. Energies are from PBE-GGA.

a = 5.727 Å, b = 5.727 Å, c = 5.727 Å
α = 90.00°, β = 90.00°, γ = 90.00°
Fractional coordinates of all 16 atoms:
1 Re 0.000 0.000 0.000
2 Re 0.000 0.500 0.500
3 Re 0.500 0.000 0.500
4 Re 0.500 0.500 0.000
5 B 0.250 0.250 0.250
6 B 0.250 0.250 0.750
7 B 0.250 0.750 0.250
8 B 0.250 0.750 0.750
9 B 0.750 0.250 0.250
10 B 0.750 0.250 0.750
11 B 0.750 0.750 0.250
12 B 0.750 0.750 0.750
13 Br 0.000 0.000 0.500
14 Br 0.000 0.500 0.000
15 Br 0.500 0.000 0.000
16 Br 0.500 0.500 0.500

Results
Its space group is Fm-3m (225). The value obtained for the density of states at the Fermi level is 1.90 states/eV/f.u.


Record 7
Here is ReBBr2 after structural relaxation from Alexandria via LeMat-Bulk. Energies are from PBE-GGA.

a = 6.375 Å, b = 6.375 Å, c = 6.375 Å
α = 90.00°, β = 90.00°, γ = 90.00°
Fractional coordinates of all 16 atoms:
1 Re 0.000 0.000 0.000
2 Re 0.000 0.500 0.500
3 Re 0.500 0.000 0.500
4 Re 0.500 0.500 0.000
5 B 0.000 0.000 0.500
6 B 0.000 0.500 0.000
7 B 0.500 0.000 0.000
8 B 0.500 0.500 0.500
9 Br 0.250 0.250 0.250
10 Br 0.250 0.250 0.750
11 Br 0.250 0.750 0.250
12 Br 0.250 0.750 0.750
13 Br 0.750 0.250 0.250
14 Br 0.750 0.250 0.750
15 Br 0.750 0.750 0.250
16 Br 0.750 0.750 0.750

Results
Its space group is Fm-3m (225). The value obtained for the density of states at the Fermi level is 3.99 states/eV/f.u.


Record 8
Here is ReBBr2 after structural relaxation from Alexandria via LeMat-Bulk. Energies are from PBE-GGA.

a = 6.251 Å, b = 6.251 Å, c = 9.304 Å
α = 90.00°, β = 90.00°, γ = 90.00°
Fractional coordinates of all 16 atoms:
1 Re 0.000 0.000 0.000
2 Re 0.000 0.500 0.250
3 Re 0.500 0.000 0.750
4 Re 0.500 0.500 0.500
5 B 0.000 0.000 0.500
6 B 0.000 0.500 0.750
7 B 0.500 0.000 0.250
8 B 0.500 0.500 0.000
9 Br 0.234 0.250 0.125
10 Br 0.250 0.734 0.375
11 Br 0.250 0.766 0.875
12 Br 0.266 0.250 0.625
13 Br 0.734 0.750 0.625
14 Br 0.750 0.234 0.875
15 Br 0.750 0.266 0.375
16 Br 0.766 0.750 0.125

Results
Its space group is I-42d (122). The value obtained for the density of states at the Fermi level is 0.70 states/eV/f.u.


Record 9
Here is Re2BBr after structural relaxation from Alexandria via LeMat-Bulk. Energies are from PBE-GGA.

a = 4.455 Å, b = 4.455 Å, c = 13.683 Å
α = 90.00°, β = 90.00°, γ = 90.00°
Fractional coordinates of all 16 atoms:
1 Re 0.144 0.250 0.125
2 Re 0.250 0.644 0.375
3 Re 0.250 0.856 0.875
4 Re 0.356 0.250 0.625
5 Re 0.644 0.750 0.625
6 Re 0.750 0.144 0.875
7 Re 0.750 0.356 0.375
8 Re 0.856 0.750 0.125
9 B 0.000 0.000 0.000
10 B 0.000 0.500 0.250
11 B 0.500 0.000 0.750
12 B 0.500 0.500 0.500
13 Br 0.000 0.000 0.500
14 Br 0.000 0.500 0.750
15 Br 0.500 0.000 0.250
16 Br 0.500 0.500 0.000

Results
Its space group is I-42d (122). The value obtained for the density of states at the Fermi level is 0.37 states/eV/f.u.


Record 10
Here is Re3BBr after structural relaxation from Alexandria via LeMat-Bulk. Energies are from PBE-GGA.

a = 4.214 Å, b = 4.214 Å, c = 4.214 Å
α = 90.00°, β = 90.00°, γ = 90.00°
Fractional coordinates of all 5 atoms:
1 Re 0.000 0.000 0.500
2 Re 0.000 0.500 0.000
3 Re 0.500 0.000 0.000
4 B 0.000 0.000 0.000
5 Br 0.500 0.500 0.500

Results
Its space group is Pm-3m (221). The value obtained for the density of states at the Fermi level is 6.13 states/eV/f.u.


Record 11
Here is ReB2Br after structural relaxation from Alexandria via LeMat-Bulk. Energies are from PBE-GGA.

a = 5.336 Å, b = 5.336 Å, c = 9.885 Å
α = 90.00°, β = 90.00°, γ = 90.00°
Fractional coordinates of all 16 atoms:
1 Re 0.000 0.000 0.000
2 Re 0.000 0.500 0.250
3 Re 0.500 0.000 0.750
4 Re 0.500 0.500 0.500
5 B 0.173 0.250 0.125
6 B 0.250 0.673 0.375
7 B 0.250 0.827 0.875
8 B 0.327 0.250 0.625
9 B 0.673 0.750 0.625
10 B 0.750 0.173 0.875
11 B 0.750 0.327 0.375
12 B 0.827 0.750 0.125
13 Br 0.000 0.000 0.500
14 Br 0.000 0.500 0.750
15 Br 0.500 0.000 0.250
16 Br 0.500 0.500 0.000

Results
Its space group is I-42d (122). The value obtained for the density of states at the Fermi level is 2.42 states/eV/f.u.


Record 12
Here is ReBRu2Br after structural relaxation from Alexandria via LeMat-Bulk. Energies are from PBE-GGA.

a = 4.165 Å, b = 4.165 Å, c = 4.209 Å
α = 90.00°, β = 90.00°, γ = 90.00°
Fractional coordinates of all 5 atoms:
1 Re 0.000 0.000 0.000
2 B 0.000 0.000 0.500
3 Ru 0.000 0.500 0.500
4 Ru 0.500 0.000 0.500
5 Br 0.500 0.500 0.000

Results
Its space group is P4/mmm (123). The value obtained for the density of states at the Fermi level is 5.97 states/eV/f.u.


Record 13
Here is ReBRu2Br after structural relaxation from Alexandria via LeMat-Bulk. Energies are from PBE-GGA.

a = 4.610 Å, b = 4.610 Å, c = 3.923 Å
α = 90.00°, β = 90.00°, γ = 90.00°
Fractional coordinates of all 5 atoms:
1 Re 0.000 0.000 0.000
2 B 0.500 0.500 0.000
3 Ru 0.000 0.500 0.500
4 Ru 0.500 0.000 0.500
5 Br 0.500 0.500 0.500

Results
Its space group is P4/mmm (123). The value obtained for the density of states at the Fermi level is 5.70 states/eV/f.u.


Formation energy (no corrections) readings, ordered: -36.07, 34.52, 30.79, 36.22, 30.84, 46.62, 42.30, 42.85, 23.54, 28.64, 24.96, 21.89, 56.07 kcal/mol of atoms